The following is a DFT calculation (PBE) of a geometry-optimized BaTl2InIr structure.

Summary:
- Total energy: -3.794 eV per atom
- Size of the total moment: 0.00 μB per formula unit
- Formation energy from the elements: -0.1427 eV per atom

Cell lengths 5.343, 5.343, 5.251 Å; angles 90.00, 90.00, 90.00 degrees
Space group P4/mmm (No. 123)
Symmetry-distinct sites (fractional):
Ba1 0.000 0.000 0.000 (multiplicity 1)
Tl1 0.000 0.500 0.500 (multiplicity 2)
In1 0.500 0.500 0.000 (multiplicity 1)
Ir1 0.500 0.500 0.500 (multiplicity 1)



The following is a DFT calculation (PBE) of a geometry-optimized Ba2TlInIr structure.

Summary:
- Total energy: -3.762 eV per atom
- Size of the total moment: 0.00 μB per formula unit
- Formation energy from the elements: -0.1997 eV per atom

Cell lengths 6.088, 6.088, 5.211 Å; angles 90.00, 90.00, 90.00 degrees
Space group P4/mmm (No. 123)
Symmetry-distinct sites (fractional):
Ba1 0.000 0.500 0.000 (multiplicity 2)
Tl1 0.000 0.000 0.500 (multiplicity 1)
In1 0.500 0.500 0.500 (multiplicity 1)
Ir1 0.500 0.500 0.000 (multiplicity 1)



The following is a DFT calculation (PBE) of a geometry-optimized Ba2TmIn12Ir3 structure.

Summary:
- Total energy: -3.778 eV per atom
- Size of the total moment: 0.00 μB per formula unit
- Formation energy from the elements: -0.0133 eV per atom

Cell lengths 10.0788, 10.0788, 20.3046 Å; angles 90.00, 90.00, 120.00 degrees
Space group R-3m (No. 166, hexagonal axes)
Symmetry-distinct sites (fractional):
Ba1 0.0000 0.0000 0.0970 (multiplicity 6)
Tm1 0.0000 0.0000 0.5000 (multiplicity 3)
In1 0.0160 0.5080 0.8699 (multiplicity 18)
In2 0.0970 0.5485 0.3268 (multiplicity 18)
Ir1 0.0000 0.5000 0.0000 (multiplicity 9)